Computed, not measured: crystalline Pr8Ga3SI4 at its relaxed geometry at the PBE-GGA level of DFT.

Unit cell a=8.6958 b=9.2272 c=8.6959 alpha=118.11 beta=120.00 gamma=90.00
Atoms (fractional coordinates):
Pr 0.2321 0.7020 0.9699
Pr 0.2321 0.7020 0.4642
Pr 0.2637 0.2912 0.5275
Pr 0.7378 0.7020 0.9699
Pr 0.2622 0.2980 0.0301
Pr 0.7363 0.7088 0.4725
Pr 0.7679 0.2980 0.5358
Pr 0.7679 0.2980 0.0301
Ga 0.5000 0.5000 0.0000
Ga 0.5000 0.5000 0.5000
Ga 0.0000 0.5000 0.5000
S 0.0000 0.5000 0.0000
I 0.5000 0.0000 0.0000
I 0.5000 0.0000 0.5000
I 0.0000 0.0000 0.0000
I 0.0000 0.0000 0.5000

Computed properties:
Calculated total energy: -73.2 eV per cell
SG: R-3m (166)
Energy relative to the elements, uncorrected: -0.972 eV per atom

***

Computed, not measured: crystalline SiAgAs2 at its relaxed geometry at the PBE-GGA level of DFT.

Unit cell a=2.9018 b=2.9018 c=10.0517 alpha=90.00 beta=90.00 gamma=120.33
Atoms (fractional coordinates):
Ag 0.5000 0.5000 0.7500
As 0.0000 0.0000 0.0082
As 0.0000 0.0000 0.4918
Si 0.5000 0.5000 0.2500

Computed properties:
Calculated total energy: -16.1 eV per cell
SG: Cmmm (65)
Energy relative to the elements, uncorrected: 0.379 eV per atom

***

Computed, not measured: crystalline BaTePb3 at its relaxed geometry at the PBE-GGA level of DFT.

Unit cell a=6.3542 b=6.3542 c=6.3542 alpha=90.00 beta=90.00 gamma=90.00
Atoms (fractional coordinates):
Pb 0.0000 0.5000 0.0000
Pb 0.0000 0.0000 0.5000
Pb 0.5000 0.0000 0.0000
Te 0.5000 0.5000 0.5000
Ba 0.0000 0.0000 0.0000

Computed properties:
Calculated total energy: -11.7 eV per cell
SG: Pm-3m (221)
Energy above the most stable polymorph in this dataset: 883 meV per atom
Energy relative to the elements, uncorrected: 0.906 eV per atom

***

Computed, not measured: crystalline SnHgPd6 at its relaxed geometry at the PBE-GGA level of DFT.

Unit cell a=7.0201 b=7.6391 c=5.1777 alpha=42.89 beta=47.41 gamma=57.34
Atoms (fractional coordinates):
Sn 0.5000 0.5000 0.5000
Hg 0.0000 0.0000 0.0000
Pd 0.9405 0.4507 0.8588
Pd 0.7494 0.9393 0.7628
Pd 0.4523 0.2503 0.3548
Pd 0.2506 0.0607 0.2372
Pd 0.0595 0.5493 0.1412
Pd 0.5477 0.7497 0.6452

Computed properties:
Calculated total energy: -37.1 eV per cell
Energy of formation: -204 meV/atom
SG: P-1 (2)
Energy above the most stable polymorph in this dataset: 96 meV per atom

***

> Which value of calculated total energy does entry 2 give?

-16.1 eV per cell